A geometry-optimized TlGeSe2 structure. Source: Alexandria via LeMat-Bulk, functional PBE.

abc: 3.8247 4.4438 7.3116
angles: 107.59 105.09 90.01
Fractional positions:
Tl 0.2209 0.8814 0.2267
Ge 0.4836 0.6429 0.7527
Se 0.8618 0.5216 0.5077
Se 0.5689 0.2288 0.9256

Values from the calculation:
The uncorrected formation energy comes out at -0.2457 eV/atom. Its space group is P1 (1).

=====

A geometry-optimized Li2HfPb structure. Source: Alexandria via LeMat-Bulk, functional PBE.

abc: 4.1351 4.1351 11.1527
angles: 79.32 79.32 90.00
Fractional positions:
Pb 0.0000 0.0000 0.0000
Pb 0.7500 0.2500 0.5000
Hf 0.5000 0.5000 0.0000
Hf 0.2500 0.7500 0.5000
Li 0.6324 0.1250 0.2500
Li 0.1176 0.6250 0.2500
Li 0.3750 0.3676 0.7500
Li 0.8750 0.8824 0.7500

Values from the calculation:
The calculation puts the formation energy at 0.815 eV per formula unit. Its space group is I-42d (122).

=====

A geometry-optimized Pa2GaSe5 structure. Source: Alexandria via LeMat-Bulk, functional PBE.

abc: 3.9376 7.8084 12.1209
angles: 90.00 90.00 90.00
Fractional positions:
Pa 0.5000 0.5166 0.1772
Pa 0.5000 0.4834 0.8228
Pa 0.5000 0.9834 0.6772
Pa 0.5000 0.0166 0.3228
Ga 0.0000 0.5000 0.5000
Ga 0.0000 0.0000 0.0000
Se 0.0000 0.0000 0.5000
Se 0.0000 0.5000 0.0000
Se 0.0000 0.8151 0.1908
Se 0.0000 0.1849 0.8092
Se 0.0000 0.6849 0.6908
Se 0.0000 0.3151 0.3092
Se 0.5000 0.6631 0.3975
Se 0.5000 0.3369 0.6025
Se 0.5000 0.8369 0.8975
Se 0.5000 0.1631 0.1025

Values from the calculation:
The uncorrected formation energy comes out at -1.1006 eV/atom. Its space group is Pbam (55).

=====

A geometry-optimized Ce2GaCu structure. Source: Alexandria via LeMat-Bulk, functional PBE.

abc: 3.0318 3.0318 11.2201
angles: 82.24 82.24 60.00
Fractional positions:
Cu 0.5000 0.5000 0.5000
Ga 0.0000 0.0000 0.0000
Ce 0.0931 0.0931 0.7206
Ce 0.9069 0.9069 0.2794

Values from the calculation:
The calculation puts the formation energy at 0.677 eV per formula unit. Its space group is R-3m (166).

=====

A geometry-optimized Hg2TePb structure. Source: Alexandria via LeMat-Bulk, functional PBE.

abc: 5.5724 5.5724 5.5724
angles: 119.32 122.47 88.48
Fractional positions:
Hg 0.9951 0.9951 0.0000
Hg 0.2517 0.7517 0.5000
Pb 0.5078 0.5078 0.0000
Te 0.7455 0.2455 0.5000

Values from the calculation:
The uncorrected formation energy comes out at -0.0400 eV/atom. The calculation puts the energy above the lowest structure with this stoichiometry at 125 meV/atom. Its space group is Imm2 (44).

=====

A geometry-optimized SiOsPb2 structure. Source: Alexandria via LeMat-Bulk, functional PBE.

abc: 3.2947 3.3415 8.4638
angles: 67.28 90.00 90.00
Fractional positions:
Os 0.5000 0.7500 0.7500
Pb 0.0000 0.0305 0.9725
Pb 0.0000 0.4695 0.5275
Si 0.5000 0.2500 0.2500

Values from the calculation:
The uncorrected formation energy comes out at 0.8477 eV/atom. Its space group is P2/m (10).

=====

no.,total magnetization (μB per cell)
1,0.00
2,0.68
3,2.41
4,0.00
5,0.00
6,0.00